A plane-wave DFT calculation with PBE-GGA was carried out for crystalline NaCrCdH6 at its relaxed geometry.

symmetry = P4_2nm, No. 102
calculated density = 3361 kg/m³
total magnetization = 5.99 Bohr magnetons per cell
V = 191.2 Å³/cell
DFT total energy = -3.44 eV per atom

Cell lengths 4.609, 4.609, 8.999 Å; angles 90.00, 90.00, 90.00 degrees
Fractional positions:
1 Na 0.500 0.500 0.500
2 Na 0.000 0.000 0.000
3 Cr 0.500 0.500 0.836
4 Cr 0.000 0.000 0.336
5 Cd 0.500 0.500 0.168
6 Cd 0.000 0.000 0.668
7 H 0.174 0.826 0.481
8 H 0.826 0.174 0.481
9 H 0.326 0.326 0.981
10 H 0.674 0.674 0.981
11 H 0.193 0.807 0.202
12 H 0.807 0.193 0.202
13 H 0.307 0.307 0.702
14 H 0.693 0.693 0.702
15 H 0.766 0.234 0.815
16 H 0.234 0.766 0.815
17 H 0.734 0.734 0.315
18 H 0.266 0.266 0.315

A plane-wave DFT calculation with PBE-GGA was carried out for crystalline Nb2CrCdH at its relaxed geometry.

symmetry = P4/mmm, No. 123
calculated density = 8121 kg/m³
total magnetization = 2.03 Bohr magnetons per cell
V = 71.8 Å³/cell
DFT total energy = -6.64 eV per atom
Fermi-level density of states = 4.8 states/eV/f.u.

Cell lengths 4.121, 4.121, 4.229 Å; angles 90.00, 90.00, 90.00 degrees
Fractional positions:
1 Cr 0.000 0.000 0.500
2 Nb 0.000 0.500 0.000
3 Nb 0.500 0.000 0.000
4 H 0.000 0.000 0.000
5 Cd 0.500 0.500 0.500

A plane-wave DFT calculation with PBE-GGA was carried out for crystalline CrCdHPd2 at its relaxed geometry.

symmetry = P4/mmm, No. 123
calculated density = 9232 kg/m³
total magnetization = 4.47 Bohr magnetons per cell
V = 68.0 Å³/cell
DFT total energy = -4.98 eV per atom
Fermi-level density of states = 2.0 states/eV/f.u.

Cell lengths 4.117, 4.117, 4.014 Å; angles 90.00, 90.00, 90.00 degrees
Fractional positions:
1 Cr 0.000 0.000 0.500
2 H 0.000 0.000 0.000
3 Pd 0.000 0.500 0.000
4 Pd 0.500 0.000 0.000
5 Cd 0.500 0.500 0.500

A plane-wave DFT calculation with PBE-GGA was carried out for crystalline CrCd2HPt at its relaxed geometry.

symmetry = P4/mmm, No. 123
calculated density = 10124 kg/m³
total magnetization = 4.20 Bohr magnetons per cell
V = 77.6 Å³/cell
DFT total energy = -3.97 eV per atom
Fermi-level density of states = 2.1 states/eV/f.u.

Cell lengths 4.583, 3.692, 4.583 Å; angles 90.00, 90.00, 90.00 degrees
Fractional positions:
1 Cr 0.500 0.500 0.500
2 H 0.000 0.000 0.000
3 Pt 0.000 0.500 0.000
4 Cd 0.000 0.000 0.500
5 Cd 0.500 0.000 0.000

A plane-wave DFT calculation with PBE-GGA was carried out for crystalline CrCdHPt2 at its relaxed geometry.

symmetry = P4/mmm, No. 123
calculated density = 13513 kg/m³
total magnetization = 4.37 Bohr magnetons per cell
V = 68.3 Å³/cell
DFT total energy = -5.30 eV per atom
Fermi-level density of states = 2.4 states/eV/f.u.

Cell lengths 4.101, 4.101, 4.060 Å; angles 90.00, 90.00, 90.00 degrees
Fractional positions:
1 Cr 0.000 0.000 0.500
2 H 0.000 0.000 0.000
3 Pt 0.000 0.500 0.000
4 Pt 0.500 0.000 0.000
5 Cd 0.500 0.500 0.500

A plane-wave DFT calculation with PBE-GGA was carried out for crystalline CrCdHRh2 at its relaxed geometry.

symmetry = P4/mmm, No. 123
calculated density = 9665 kg/m³
total magnetization = 3.23 Bohr magnetons per cell
V = 63.8 Å³/cell
DFT total energy = -5.75 eV per atom
Fermi-level density of states = 2.1 states/eV/f.u.

Cell lengths 4.052, 4.052, 3.884 Å; angles 90.00, 90.00, 90.00 degrees
Fractional positions:
1 Cr 0.000 0.000 0.500
2 Rh 0.000 0.500 0.000
3 Rh 0.500 0.000 0.000
4 H 0.000 0.000 0.000
5 Cd 0.500 0.500 0.500

A plane-wave DFT calculation with PBE-GGA was carried out for crystalline CrCdH2Se at its relaxed geometry.

symmetry = P4/mmm, No. 123
calculated density = 5187 kg/m³
total magnetization = 4.16 Bohr magnetons per cell
V = 78.6 Å³/cell
DFT total energy = -3.60 eV per atom
Fermi-level density of states = 1.9 states/eV/f.u.

Cell lengths 3.826, 5.365, 3.826 Å; angles 90.00, 90.00, 90.00 degrees
Fractional positions:
1 Cr 0.000 0.500 0.000
2 H 0.000 0.000 0.500
3 H 0.500 0.000 0.000
4 Se 0.000 0.000 0.000
5 Cd 0.500 0.500 0.500

A plane-wave DFT calculation with PBE-GGA was carried out for crystalline Ti2CrCdH at its relaxed geometry.

symmetry = P4/mmm, No. 123
calculated density = 6637 kg/m³
total magnetization = 0.00 Bohr magnetons per cell
V = 65.3 Å³/cell
DFT total energy = -5.92 eV per atom
Fermi-level density of states = 4.4 states/eV/f.u.

Cell lengths 4.252, 4.252, 3.613 Å; angles 90.00, 90.00, 90.00 degrees
Fractional positions:
1 Cr 0.000 0.000 0.500
2 Ti 0.000 0.500 0.000
3 Ti 0.500 0.000 0.000
4 H 0.000 0.000 0.000
5 Cd 0.500 0.500 0.500